Record 1
# PaBiIO6 (PBE, relaxed)
data_PaBiIO6
_chemical_formula_sum 'Pa2 Bi2 I2 O12'
_symmetry_space_group_name_H-M 'P -3 1 c'
_symmetry_Int_Tables_number 163
_symmetry_space_group_name_Hall '-P 3 2c'
_cell_length_a 5.9764
_cell_length_b 5.9764
_cell_length_c 9.3318
_cell_angle_alpha 90.00
_cell_angle_beta 90.00
_cell_angle_gamma 120.00
loop_
_atom_site_label
_atom_site_type_symbol
_atom_site_fract_x
_atom_site_fract_y
_atom_site_fract_z
_atom_site_occupancy
Pa1 Pa 0.3333 0.6667 0.2500 1
Bi1 Bi 0.0000 0.0000 0.0000 1
I1 I 0.3333 0.6667 0.7500 1
O1 O 0.0080 0.3456 0.1383 1
# Crystal system   trigonal
# Magnetic moment   1.98 μB per cell
# Calculated volume   288.65 Å³/cell
# E   -117.4 eV/cell
# E_form (uncorrected)   -1.5580 eV/atom


Record 2
# PuTi2Rh3 (PBE, relaxed)
data_PuTi2Rh3
_chemical_formula_sum 'Pu1 Ti2 Rh3'
_symmetry_space_group_name_H-M 'P 4/m m m'
_symmetry_Int_Tables_number 123
_symmetry_space_group_name_Hall '-P 4 2'
_cell_length_a 3.091
_cell_length_b 3.091
_cell_length_c 10.485
_cell_angle_alpha 90.00
_cell_angle_beta 90.00
_cell_angle_gamma 90.00
loop_
_atom_site_label
_atom_site_type_symbol
_atom_site_fract_x
_atom_site_fract_y
_atom_site_fract_z
_atom_site_occupancy
Pu1 Pu 0.000 0.000 0.000 1
Ti1 Ti 0.000 0.000 0.346 1
Rh1 Rh 0.500 0.500 0.212 1
Rh2 Rh 0.500 0.500 0.500 1
# Crystal system   tetragonal
# Magnetic moment   5.29 μB per cell
# Calculated volume   100.15 Å³/cell
# E   -56.1 eV/cell


Record 3
# Tl4Hg (PBE, relaxed)
data_Tl4Hg
_chemical_formula_sum 'Tl4 Hg1'
_symmetry_space_group_name_H-M 'P m -3 m'
_symmetry_Int_Tables_number 221
_symmetry_space_group_name_Hall '-P 4 2 3'
_cell_length_a 5.788
_cell_length_b 5.788
_cell_length_c 5.788
_cell_angle_alpha 90.00
_cell_angle_beta 90.00
_cell_angle_gamma 90.00
loop_
_atom_site_label
_atom_site_type_symbol
_atom_site_fract_x
_atom_site_fract_y
_atom_site_fract_z
_atom_site_occupancy
Tl1 Tl 0.000 0.000 0.000 1
Tl2 Tl 0.000 0.500 0.500 1
Hg1 Hg 0.500 0.500 0.500 1
# Crystal system   cubic
# Energy relative to the lowest polymorph listed for this composition   1.38 eV per formula unit
# Magnetic moment   0.00 μB per cell
# Calculated volume   193.86 Å³/cell
# E   -8.4 eV/cell


Record 4
# Li2AgPd4Pb2 (PBE, relaxed)
data_Li2AgPd4Pb2
_chemical_formula_sum 'Li4 Ag2 Pd8 Pb4'
_symmetry_space_group_name_H-M 'I 4/m m m'
_symmetry_Int_Tables_number 139
_symmetry_space_group_name_Hall '-I 4 2'
_cell_length_a 6.551
_cell_length_b 6.551
_cell_length_c 7.706
_cell_angle_alpha 90.00
_cell_angle_beta 90.00
_cell_angle_gamma 90.00
loop_
_atom_site_label
_atom_site_type_symbol
_atom_site_fract_x
_atom_site_fract_y
_atom_site_fract_z
_atom_site_occupancy
Li1 Li 0.000 0.000 0.197 1
Ag1 Ag 0.000 0.000 0.500 1
Pd1 Pd 0.218 0.218 0.000 1
Pb1 Pb 0.000 0.500 0.250 1
# Crystal system   tetragonal
# Magnetic moment   0.00 μB per cell
# Calculated volume   330.74 Å³/cell
# E   -72.6 eV/cell


Record 5
# Y2MnNi (PBE, relaxed)
data_Y2MnNi
_chemical_formula_sum 'Y4 Mn2 Ni2'
_symmetry_space_group_name_H-M 'I -4 m 2'
_symmetry_Int_Tables_number 119
_symmetry_space_group_name_Hall 'I -4 -2'
_cell_length_a 4.033
_cell_length_b 4.033
_cell_length_c 10.299
_cell_angle_alpha 90.00
_cell_angle_beta 90.00
_cell_angle_gamma 90.00
loop_
_atom_site_label
_atom_site_type_symbol
_atom_site_fract_x
_atom_site_fract_y
_atom_site_fract_z
_atom_site_occupancy
Y1 Y 0.000 0.000 0.000 1
Y2 Y 0.000 0.500 0.250 1
Mn1 Mn 0.000 0.500 0.750 1
Ni1 Ni 0.000 0.000 0.500 1
# Crystal system   tetragonal
# Magnetic moment   5.28 μB per cell
# Calculated volume   167.48 Å³/cell
# E   -54.7 eV/cell


Record 6
# NaPmTmIn (PBE, relaxed)
data_NaPmTmIn
_chemical_formula_sum 'Na4 Pm4 Tm4 In4'
_symmetry_space_group_name_H-M 'F -4 3 m'
_symmetry_Int_Tables_number 216
_symmetry_space_group_name_Hall 'F -4 2 3'
_cell_length_a 7.672
_cell_length_b 7.672
_cell_length_c 7.672
_cell_angle_alpha 90.00
_cell_angle_beta 90.00
_cell_angle_gamma 90.00
loop_
_atom_site_label
_atom_site_type_symbol
_atom_site_fract_x
_atom_site_fract_y
_atom_site_fract_z
_atom_site_occupancy
Na1 Na 0.000 0.000 0.000 1
Pm1 Pm 0.250 0.250 0.250 1
Tm1 Tm 0.250 0.250 0.750 1
In1 In 0.000 0.000 0.500 1
# Crystal system   cubic
# Magnetic moment   0.00 μB per cell
# Calculated volume   451.63 Å³/cell
# E   -55.1 eV/cell